Model one:
Here is an optimized crystal structure of ScCdCoSi from OQMD via LeMat-Bulk. Energies are from PBE.

## Properties
Space group: F-43m
V: 62 Å³/f.u.

a b c (Å): 4.4415 4.4415 4.4415
angles (deg): 60.00 60.00 60.00
Fractional positions:
1 Cd 0.2500 0.2500 0.2500
2 Sc 0.5000 0.5000 0.5000
3 Si 0.0000 0.0000 0.0000
4 Co 0.7500 0.7500 0.7500

---

Model two:
Here is an optimized crystal structure of ScCdCoSi from OQMD via LeMat-Bulk. Energies are from PBE.

## Properties
Space group: F-43m
V: 63 Å³/f.u.

a b c (Å): 4.4641 4.4641 4.4641
angles (deg): 60.00 60.00 60.00
Fractional positions:
1 Cd 0.5000 0.5000 0.5000
2 Sc 0.2500 0.2500 0.2500
3 Co 0.7500 0.7500 0.7500
4 Si 0.0000 0.0000 0.0000

---

Name the most stable of them. model two.

---

Model one:
Here is an optimized crystal structure of ScTlCdCo from OQMD via LeMat-Bulk. Energies are from PBE.

## Properties
Space group: F-43m
V: 75 Å³/f.u.

a b c (Å): 4.7436 4.7436 4.7436
angles (deg): 60.00 60.00 60.00
Fractional positions:
1 Co 0.7500 0.7500 0.7500
2 Tl 0.0000 0.0000 0.0000
3 Cd 0.2500 0.2500 0.2500
4 Sc 0.5000 0.5000 0.5000

---

Model two:
Here is an optimized crystal structure of ScTlCdCo from OQMD via LeMat-Bulk. Energies are from PBE.

## Properties
Space group: F-43m
V: 74 Å³/f.u.

a b c (Å): 4.7024 4.7024 4.7024
angles (deg): 60.00 60.00 60.00
Fractional positions:
1 Sc 0.2500 0.2500 0.2500
2 Co 0.7500 0.7500 0.7500
3 Tl 0.0000 0.0000 0.0000
4 Cd 0.5000 0.5000 0.5000

---

Name the most stable of them. model two.

---

Model one:
Here is an optimized crystal structure of TaCdCoSi from OQMD via LeMat-Bulk. Energies are from PBE.

## Properties
Space group: F-43m
V: 61 Å³/f.u.

a b c (Å): 4.4077 4.4077 4.4077
angles (deg): 60.00 60.00 60.00
Fractional positions:
1 Ta 0.2500 0.2500 0.2500
2 Si 0.0000 0.0000 0.0000
3 Cd 0.5000 0.5000 0.5000
4 Co 0.7500 0.7500 0.7500

---

Model two:
Here is an optimized crystal structure of TaCdCoSi from OQMD via LeMat-Bulk. Energies are from PBE.

## Properties
Space group: F-43m
V: 62 Å³/f.u.

a b c (Å): 4.4446 4.4446 4.4446
angles (deg): 60.00 60.00 60.00
Fractional positions:
1 Cd 0.2500 0.2500 0.2500
2 Si 0.0000 0.0000 0.0000
3 Ta 0.5000 0.5000 0.5000
4 Co 0.7500 0.7500 0.7500

---

Name the most stable of them. model one.

---

Model one:
Here is an optimized crystal structure of CdCoSnTe3 from OQMD via LeMat-Bulk. Energies are from PBE.

## Properties
Space group: Cmcm
V: 168 Å³/f.u.

a b c (Å): 8.5045 8.5045 10.4460
angles (deg): 90.00 90.00 26.47
Fractional positions:
1 Te 0.6008 0.6008 0.9767
2 Sn 0.6667 0.6667 0.2500
3 Sn 0.3333 0.3333 0.7500
4 Cd 0.6982 0.6982 0.7500
5 Co 0.0000 0.0000 0.5000
6 Co 0.0000 0.0000 0.0000
7 Cd 0.3017 0.3017 0.2500
8 Te 0.6008 0.6008 0.5233
9 Te 0.0310 0.0310 0.2500
10 Te 0.3992 0.3992 0.0233
11 Te 0.3992 0.3992 0.4767
12 Te 0.9690 0.9690 0.7500

---

Model two:
Here is an optimized crystal structure of CdCoSnTe3 from OQMD via LeMat-Bulk. Energies are from PBE.

## Properties
Space group: Cmcm
V: 163 Å³/f.u.

a b c (Å): 7.0825 7.0825 11.8033
angles (deg): 90.00 90.00 33.30
Fractional positions:
1 Cd 0.0000 0.0000 0.0000
2 Te 0.6507 0.6507 0.5608
3 Sn 0.7852 0.7852 0.2500
4 Co 0.4402 0.4402 0.2500
5 Te 0.3493 0.3493 0.4392
6 Cd 0.0000 0.0000 0.5000
7 Te 0.0515 0.0515 0.2500
8 Te 0.3493 0.3493 0.0608
9 Te 0.6507 0.6507 0.9392
10 Sn 0.2148 0.2148 0.7500
11 Te 0.9485 0.9485 0.7500
12 Co 0.5598 0.5598 0.7500

---

Name the most stable of them. model one.